Density functional theory data (PBE) for an optimized crystal structure of HoScSeS.

Cell lengths 7.048, 7.048, 7.048 Å; angles 31.16, 31.16, 31.16 degrees
Sites, in units of the cell vectors:
Ho (0.000, 0.000, 0.000)
Sc (0.814, 0.814, 0.814)
Se (0.572, 0.572, 0.572)
S (0.410, 0.410, 0.410)

mass density	6.4	g cm⁻³
formation energy without anion corrections	-1794.5	meV/atom
space group	R3m
magnetic moment	0.00	μB per cell